Entry 1:
# CuNi4Pt3 | Alexandria via LeMat-Bulk | PBE | relaxed
# Energy relative to the lowest polymorph listed for this composition: 1.69 eV/f.u.
data_CuNi4Pt3
_space_group_name_H-M_alt 'P 1'
_space_group_IT_number 1
_space_group_name_Hall 'P 1'
_cell_length_a 5.5699
_cell_length_b 5.5699
_cell_length_c 5.5699
_cell_angle_alpha 78.81
_cell_angle_beta 126.82
_cell_angle_gamma 126.49
loop_
_atom_site_label
_atom_site_fract_x
_atom_site_fract_y
_atom_site_fract_z
_atom_site_occupancy
Ni1 0.0871 0.2504 0.3375 1
Ni2 0.5826 0.2473 0.3353 1
Cu1 0.2897 0.5000 0.7897 1
Pt1 0.8495 0.0000 0.8495 1
Pt2 0.5835 0.2639 0.8474 1
Ni3 0.0880 0.7527 0.3353 1
Pt3 0.5835 0.7361 0.3196 1
Ni4 0.0871 0.7496 0.8366 1

Entry 2:
# Cu2Ni3Pt2 | Alexandria via LeMat-Bulk | PBE | relaxed
# Energy relative to the lowest polymorph listed for this composition: 1.05 eV/f.u.
data_Cu2Ni3Pt2
_space_group_name_H-M_alt 'P 1'
_space_group_IT_number 1
_space_group_name_Hall 'P 1'
_cell_length_a 3.9773
_cell_length_b 2.6018
_cell_length_c 9.2062
_cell_angle_alpha 98.12
_cell_angle_beta 102.47
_cell_angle_gamma 90.00
loop_
_atom_site_label
_atom_site_fract_x
_atom_site_fract_y
_atom_site_fract_z
_atom_site_occupancy
Pt1 0.4258 0.4258 0.8516 1
Pt2 0.5742 0.5742 0.1484 1
Cu1 0.1590 0.6590 0.3179 1
Ni1 0.0000 0.0000 0.0000 1
Cu2 0.8410 0.3410 0.6821 1
Ni2 0.2925 0.7925 0.5850 1
Ni3 0.7075 0.2075 0.4150 1

Entry 3:
Computed, not measured: a relaxed structure of Cu2NiPt at the PBE level of DFT.

CIF file:
```
data_Cu2NiPt
_space_group_name_H-M_alt 'P 1'
_space_group_IT_number 1
_space_group_name_Hall 'P 1'
_cell_length_a 4.9138
_cell_length_b 4.9138
_cell_length_c 4.9138
_cell_angle_alpha 146.15
_cell_angle_beta 128.79
_cell_angle_gamma 62.81
loop_
_atom_site_label
_atom_site_fract_x
_atom_site_fract_y
_atom_site_fract_z
_atom_site_occupancy
Cu1 0.7486 0.2486 0.5000 1
Pt1 0.2527 0.7527 0.5000 1
Ni1 0.5076 0.5076 0.0000 1
Cu2 0.9911 0.9911 0.0000 1
```

Entry 4:
# CuNi5Pt8 | Alexandria via LeMat-Bulk | PBE | relaxed
# Energy relative to the lowest polymorph listed for this composition: 0.00 eV/f.u.
data_CuNi5Pt8
_space_group_name_H-M_alt 'P 1'
_space_group_IT_number 1
_space_group_name_Hall 'P 1'
_cell_length_a 6.4286
_cell_length_b 6.4286
_cell_length_c 6.4286
_cell_angle_alpha 110.21
_cell_angle_beta 108.00
_cell_angle_gamma 110.21
loop_
_atom_site_label
_atom_site_fract_x
_atom_site_fract_y
_atom_site_fract_z
_atom_site_occupancy
Pt1 0.3453 0.2785 0.4260 1
Pt2 0.6553 0.4003 0.9191 1
Pt3 0.0809 0.7362 0.4811 1
Ni1 0.0311 0.3193 0.1213 1
Ni2 0.5000 0.0000 0.5000 1
Ni3 0.8020 0.6807 0.7118 1
Pt4 0.7449 0.2638 0.3447 1
Ni4 0.2882 0.0902 0.9689 1
Pt5 0.9331 0.0807 0.6547 1
Cu1 0.2500 0.5000 0.7500 1
Pt6 0.1476 0.7215 0.0669 1
Ni5 0.8787 0.9098 0.1980 1
Pt7 0.5740 0.9193 0.8524 1
Pt8 0.5189 0.5997 0.2551 1

Entry 5:
Computed, not measured: a relaxed structure of CuNiPtRh at the PBE level of DFT.

CIF file:
```
data_CuNiPtRh
_space_group_name_H-M_alt 'P 1'
_space_group_IT_number 1
_space_group_name_Hall 'P 1'
_cell_length_a 4.2304
_cell_length_b 4.2304
_cell_length_c 4.2304
_cell_angle_alpha 60.00
_cell_angle_beta 60.00
_cell_angle_gamma 60.00
loop_
_atom_site_label
_atom_site_fract_x
_atom_site_fract_y
_atom_site_fract_z
_atom_site_occupancy
Ni1 0.0000 0.0000 0.0000 1
Cu1 0.5000 0.5000 0.5000 1
Rh1 0.2500 0.2500 0.2500 1
Pt1 0.7500 0.7500 0.7500 1
```

Entry 6:
Computed, not measured: a relaxed structure of Cu2NiPt5Rh at the PBE level of DFT.

CIF file:
```
data_Cu2NiPt5Rh
_space_group_name_H-M_alt 'P 1'
_space_group_IT_number 1
_space_group_name_Hall 'P 1'
_cell_length_a 6.0740
_cell_length_b 6.0740
_cell_length_c 8.5780
_cell_angle_alpha 110.73
_cell_angle_beta 110.73
_cell_angle_gamma 90.00
loop_
_atom_site_label
_atom_site_fract_x
_atom_site_fract_y
_atom_site_fract_z
_atom_site_occupancy
Pt1 0.6212 0.1212 0.7126 1
Pt2 0.1212 0.0914 0.7126 1
Pt3 0.9086 0.4086 0.2874 1
Pt4 0.5914 0.6212 0.7126 1
Pt5 0.5000 0.5000 0.0000 1
Cu1 0.8749 0.6251 0.0000 1
Cu2 0.3749 0.8749 0.0000 1
Cu3 0.1251 0.3749 0.0000 1
Pt6 0.3788 0.8788 0.2874 1
Rh1 0.7500 0.2500 0.5000 1
Pt7 0.4086 0.3788 0.2874 1
Ni1 0.2500 0.2500 0.5000 1
Pt8 0.0000 0.0000 0.0000 1
Pt9 0.8788 0.9086 0.2874 1
Rh2 0.2500 0.7500 0.5000 1
Ni2 0.7500 0.7500 0.5000 1
Pt10 0.0914 0.5914 0.7126 1
Cu4 0.6251 0.1251 0.0000 1
```

Entry 7:
# CuNiPtS4 | Alexandria via LeMat-Bulk | PBE | relaxed
# E_form (uncorrected): -325 meV/atom
data_CuNiPtS4
_space_group_name_H-M_alt 'P 1'
_space_group_IT_number 1
_space_group_name_Hall 'P 1'
_cell_length_a 6.8255
_cell_length_b 6.9559
_cell_length_c 6.9559
_cell_angle_alpha 60.82
_cell_angle_beta 60.62
_cell_angle_gamma 60.62
loop_
_atom_site_label
_atom_site_fract_x
_atom_site_fract_y
_atom_site_fract_z
_atom_site_occupancy
S1 0.2226 0.7640 0.2640 1
S2 0.7575 0.2154 0.2696 1
Cu1 0.6362 0.6138 0.1138 1
Pt1 0.0000 0.0000 0.0000 1
Ni1 0.5000 0.0000 0.5000 1
S3 0.7774 0.2360 0.7360 1
S4 0.2507 0.2360 0.7360 1
S5 0.7575 0.7696 0.7154 1
S6 0.2425 0.7846 0.7304 1
Cu2 0.3638 0.3862 0.8862 1
S7 0.7493 0.7640 0.2640 1
Pt2 0.0000 0.5000 0.5000 1
Ni2 0.0000 0.0000 0.5000 1
S8 0.2425 0.2304 0.2846 1

Entry 8:
Computed, not measured: a relaxed structure of Sc4CuNi2Pt at the PBE level of DFT.

CIF file:
```
data_Sc4CuNi2Pt
_space_group_name_H-M_alt 'P 1'
_space_group_IT_number 1
_space_group_name_Hall 'P 1'
_cell_length_a 4.5610
_cell_length_b 4.5610
_cell_length_c 7.9141
_cell_angle_alpha 73.25
_cell_angle_beta 73.25
_cell_angle_gamma 60.00
loop_
_atom_site_label
_atom_site_fract_x
_atom_site_fract_y
_atom_site_fract_z
_atom_site_occupancy
Sc1 0.8743 0.8743 0.3772 1
Ni1 0.2506 0.2506 0.2482 1
Ni2 0.7494 0.7494 0.7518 1
Cu1 0.5000 0.5000 0.5000 1
Sc2 0.6241 0.6241 0.1278 1
Sc3 0.1257 0.1257 0.6228 1
Pt1 0.0000 0.0000 0.0000 1
Sc4 0.3759 0.3759 0.8722 1
```

Entry 9:
# CuNi2PtSe8 | Alexandria via LeMat-Bulk | PBE | relaxed
# E_form (uncorrected): 187 meV/atom
data_CuNi2PtSe8
_space_group_name_H-M_alt 'P 1'
_space_group_IT_number 1
_space_group_name_Hall 'P 1'
_cell_length_a 7.6766
_cell_length_b 7.6766
_cell_length_c 7.6766
_cell_angle_alpha 104.61
_cell_angle_beta 104.61
_cell_angle_gamma 119.69
loop_
_atom_site_label
_atom_site_fract_x
_atom_site_fract_y
_atom_site_fract_z
_atom_site_occupancy
Se1 0.6598 0.0148 0.6450 1
Pt1 0.2500 0.7500 0.5000 1
Se2 0.5986 0.7397 0.8589 1
Se3 0.9852 0.6302 0.6450 1
Se4 0.8808 0.7397 0.1411 1
Ni1 0.5000 0.5000 0.0000 1
Se5 0.2603 0.4014 0.1411 1
Se6 0.2603 0.1192 0.8589 1
Se7 0.9852 0.3402 0.3550 1
Cu1 0.0000 0.0000 0.0000 1
Ni2 0.7500 0.2500 0.5000 1
Se8 0.3698 0.0148 0.3550 1

Entry 10:
Computed, not measured: a relaxed structure of Sm2CuNi3Pt12 at the PBE level of DFT.

CIF file:
```
data_Sm2CuNi3Pt12
_space_group_name_H-M_alt 'P 1'
_space_group_IT_number 1
_space_group_name_Hall 'P 1'
_cell_length_a 7.7532
_cell_length_b 7.7532
_cell_length_c 7.7532
_cell_angle_alpha 63.10
_cell_angle_beta 63.10
_cell_angle_gamma 63.10
loop_
_atom_site_label
_atom_site_fract_x
_atom_site_fract_y
_atom_site_fract_z
_atom_site_occupancy
Pt1 0.6318 0.6318 0.1134 1
Pt2 0.3682 0.3682 0.8866 1
Pt3 0.8673 0.3757 0.8673 1
Pt4 0.1327 0.1327 0.6243 1
Pt5 0.3757 0.8673 0.8673 1
Sm1 0.3840 0.3840 0.3840 1
Pt6 0.1327 0.6243 0.1327 1
Pt7 0.8673 0.8673 0.3757 1
Pt8 0.1134 0.6318 0.6318 1
Ni1 0.5000 0.0000 0.0000 1
Cu1 0.0000 0.0000 0.0000 1
Sm2 0.6160 0.6160 0.6160 1
Pt9 0.6318 0.1134 0.6318 1
Pt10 0.8866 0.3682 0.3682 1
Ni2 0.0000 0.5000 0.0000 1
Ni3 0.0000 0.0000 0.5000 1
Pt11 0.3682 0.8866 0.3682 1
Pt12 0.6243 0.1327 0.1327 1
```

Which spin magnetization belongs to each record? In order, 2.31, 2.19, 0.52, 6.69, 2.24, 1.08, 0.00, 0.00, 0.00, 4.45 μB/f.u..
Which uncorrected energy belongs to each record? In order, -5.525, -5.277, -5.024, -5.671, -5.796, -5.431, -4.957, -6.527, -3.945, -5.721 eV/atom.